No. 1
Entry from the Alexandria database: a relaxed structure of Y2BeNiPt6 (PBE).

For the electronic total energy, the calculation gives -6.5874 eV/atom. The calculated formation energy comes out at -0.72 eV/atom. The value obtained for the density of states at the Fermi level is 6.68 states/eV/f.u. The symmetry is C2/m (12).

a = 5.5385 Å, b = 5.5385 Å, c = 7.6169 Å
α = 111.22°, β = 111.22°, γ = 60.11°
Last column: nearest neighbours and their distance in Å.
Atoms (fractional coordinates):
Y  0.2039  0.2039  0.1121  9 Pt 3.01-3.17, 3 Ni 3.29
Y  0.7961  0.7961  0.8879  9 Pt 3.01-3.17, 3 Ni 3.29
Be  0.0000  0.0000  0.5000  6 Pt 2.22
Ni  0.5000  0.5000  0.0000  6 Pt 2.51
Pt  0.2420  0.2420  0.7186  1 Be 2.22
Pt  0.2422  0.7348  0.7183  1 Be 2.22
Pt  0.2652  0.7578  0.2817  1 Be 2.22
Pt  0.7348  0.2422  0.7183  1 Be 2.22
Pt  0.7578  0.2652  0.2817  1 Be 2.22
Pt  0.7580  0.7580  0.2814  1 Be 2.22

No. 2
Entry from the Alexandria database: a relaxed structure of Be2Zn2NiPt5 (PBE).

For the electronic total energy, the calculation gives -5.0124 eV/atom. The calculated formation energy comes out at -0.41 eV/atom. The value obtained for the density of states at the Fermi level is 5.90 states/eV/f.u. The symmetry is P4/mbm (127).

a = 9.1714 Å, b = 9.1714 Å, c = 3.2691 Å
α = 90.00°, β = 90.00°, γ = 90.00°
Last column: nearest neighbours and their distance in Å.
Atoms (fractional coordinates):
Be  0.1286  0.3714  0.0000  6 Pt 2.29-2.34
Be  0.3714  0.8714  0.0000  6 Pt 2.29-2.34
Be  0.6286  0.1286  0.0000  6 Pt 2.29-2.34
Be  0.8714  0.6286  0.0000  6 Pt 2.29-2.34
Zn  0.1728  0.6728  0.0000  3 Be 2.58-2.79, 6 Pt 2.77-2.81
Zn  0.3272  0.1728  0.0000  3 Be 2.58-2.79, 6 Pt 2.77-2.81
Zn  0.6728  0.8272  0.0000  3 Be 2.58-2.79, 6 Pt 2.77-2.81
Zn  0.8272  0.3272  0.0000  3 Be 2.58-2.79, 6 Pt 2.77-2.81
Ni  0.0000  0.0000  0.0000  8 Pt 2.58
Ni  0.5000  0.5000  0.0000  8 Pt 2.58
Pt  0.0000  0.5000  0.5000  4 Be 2.34
Pt  0.0799  0.2030  0.5000  2 Be 2.29
Pt  0.2030  0.9201  0.5000  2 Be 2.29
Pt  0.2970  0.4201  0.5000  2 Be 2.29
Pt  0.4201  0.7030  0.5000  2 Be 2.29
Pt  0.5000  0.0000  0.5000  4 Be 2.34
Pt  0.5799  0.2970  0.5000  2 Be 2.29
Pt  0.7030  0.5799  0.5000  2 Be 2.29
Pt  0.7970  0.0799  0.5000  2 Be 2.29
Pt  0.9201  0.7970  0.5000  2 Be 2.29

No. 3
Entry from the Alexandria database: a relaxed structure of Zr2BeNiPt (PBE).

For the electronic total energy, the calculation gives -6.1550 eV/atom. The calculated formation energy comes out at 0.37 eV/atom. The value obtained for the density of states at the Fermi level is 7.34 states/eV/f.u. The symmetry is P4/mmm (123).

a = 5.0953 Å, b = 5.0953 Å, c = 4.1142 Å
α = 90.00°, β = 90.00°, γ = 90.00°
Last column: nearest neighbours and their distance in Å.
Atoms (fractional coordinates):
Zr  0.0000  0.5000  0.0000  2 Pt 2.55
Zr  0.5000  0.0000  0.0000  2 Pt 2.55
Be  0.0000  0.0000  0.5000  2 Pt 2.06
Ni  0.5000  0.5000  0.5000  8 Zr 3.27, 4 Be 3.60
Pt  0.0000  0.0000  0.0000  2 Be 2.06

No. 4
Entry from the Alexandria database: a relaxed structure of PuBeNi11 (PBE).

For the electronic total energy, the calculation gives -6.3994 eV/atom. The calculated formation energy comes out at -0.12 eV/atom. The value obtained for the density of states at the Fermi level is 28.00 states/eV/f.u. The symmetry is C2/m (12).

a = 6.2119 Å, b = 6.2119 Å, c = 6.1398 Å
α = 97.32°, β = 97.32°, γ = 136.44°
Last column: nearest neighbours and their distance in Å.
Atoms (fractional coordinates):
Pu  0.0000  0.0000  0.0000  18 Ni 2.89-3.11, 2 Be 3.14
Be  0.5000  0.5000  0.5000  10 Ni 2.26-2.52
Ni  0.0000  0.0000  0.5000  2 Be 2.31, 8 Ni 2.37-2.45
Ni  0.0000  0.5000  0.0000  10 Ni 2.31-2.51
Ni  0.0084  0.6562  0.6446  8 Ni 2.39-2.60, 1 Be 2.52
Ni  0.2910  0.5075  0.7723  1 Be 2.26, 5 Ni 2.37-2.51
Ni  0.3438  0.9916  0.3554  8 Ni 2.39-2.60, 1 Be 2.52
Ni  0.4925  0.7090  0.2277  1 Be 2.26, 5 Ni 2.37-2.51
Ni  0.5000  0.0000  0.0000  10 Ni 2.31-2.51
Ni  0.5075  0.2910  0.7723  1 Be 2.26, 5 Ni 2.37-2.51
Ni  0.6562  0.0084  0.6446  8 Ni 2.39-2.60, 1 Be 2.52
Ni  0.7090  0.4925  0.2277  1 Be 2.26, 5 Ni 2.37-2.51
Ni  0.9916  0.3438  0.3554  8 Ni 2.39-2.60, 1 Be 2.52

No. 5
Entry from the Alexandria database: a relaxed structure of PuBeNiRu (PBE).

For the electronic total energy, the calculation gives -8.3310 eV/atom. The calculated formation energy comes out at -0.05 eV/atom. The value obtained for the density of states at the Fermi level is 7.95 states/eV/f.u. The symmetry is R3m (160).

a = 5.3914 Å, b = 5.3914 Å, c = 5.3914 Å
α = 41.24°, β = 41.24°, γ = 41.24°
Last column: nearest neighbours and their distance in Å.
Atoms (fractional coordinates):
Pu  0.0000  0.0000  0.0000  4 Be 2.80-3.06, 3 Ru 2.80, 3 Ni 2.86
Be  0.1892  0.1892  0.1892  3 Ni 2.21, 3 Ru 2.43
Ni  0.5422  0.5422  0.5422  3 Be 2.21
Ru  0.7850  0.7850  0.7850  3 Be 2.43, 3 Ni 2.57

No. 6
Entry from the Alexandria database: a relaxed structure of Pu2BeSi4Ni3 (PBE).

For the electronic total energy, the calculation gives -7.7267 eV/atom. The value obtained for the density of states at the Fermi level is 22.65 states/eV/f.u. The symmetry is P-4m2 (115).

a = 3.9780 Å, b = 3.9780 Å, c = 9.4259 Å
α = 90.00°, β = 90.00°, γ = 90.00°
Last column: nearest neighbours and their distance in Å.
Atoms (fractional coordinates):
Pu  0.0000  0.5000  0.2464  8 Si 3.01-3.11, 6 Ni 3.06-3.07, 2 Be 3.06
Pu  0.5000  0.0000  0.7536  8 Si 3.01-3.11, 6 Ni 3.06-3.07, 2 Be 3.06
Be  0.5000  0.5000  0.0000  4 Si 2.34
Si  0.0000  0.0000  0.5000  4 Ni 2.30
Si  0.0000  0.5000  0.8682  3 Ni 2.31-2.34, 2 Be 2.34
Si  0.5000  0.0000  0.1318  3 Ni 2.31-2.34, 2 Be 2.34
Si  0.5000  0.5000  0.5000  4 Ni 2.30
Ni  0.0000  0.0000  0.0000  4 Si 2.34
Ni  0.0000  0.5000  0.6236  5 Si 2.30-2.31
Ni  0.5000  0.0000  0.3764  5 Si 2.30-2.31

No. 7
Entry from the Alexandria database: a relaxed structure of RbBe2Ni (PBE).

For the electronic total energy, the calculation gives -2.1231 eV/atom. The calculated formation energy comes out at 1.43 eV/atom. The value obtained for the density of states at the Fermi level is 2.60 states/eV/f.u. The symmetry is Fm-3m (225).

a = 4.6826 Å, b = 4.6826 Å, c = 4.6826 Å
α = 60.00°, β = 60.00°, γ = 60.00°
Last column: nearest neighbours and their distance in Å.
Atoms (fractional coordinates):
Rb  0.0000  0.0000  0.0000  8 Be 2.87
Be  0.2500  0.2500  0.2500  4 Ni 2.87, 4 Rb 2.87
Be  0.7500  0.7500  0.7500  4 Ni 2.87, 4 Rb 2.87
Ni  0.5000  0.5000  0.5000  8 Be 2.87

No. 8
Entry from the Alexandria database: a relaxed structure of RbBe3Ni (PBE).

For the electronic total energy, the calculation gives -0.7033 eV/atom. The calculated formation energy comes out at 2.88 eV/atom. The value obtained for the density of states at the Fermi level is 5.81 states/eV/f.u. The symmetry is Pm-3m (221).

a = 5.0602 Å, b = 5.0602 Å, c = 5.0602 Å
α = 90.00°, β = 90.00°, γ = 90.00°
Last column: nearest neighbours and their distance in Å.
Atoms (fractional coordinates):
Rb  0.0000  0.0000  0.0000  6 Be 2.53
Be  0.0000  0.0000  0.5000  2 Rb 2.53
Be  0.0000  0.5000  0.0000  2 Rb 2.53
Be  0.5000  0.0000  0.0000  2 Rb 2.53
Ni  0.5000  0.5000  0.5000  12 Be 3.58

No. 9
Entry from the Alexandria database: a relaxed structure of RbBe3Ni (PBE).

For the electronic total energy, the calculation gives -2.9571 eV/atom. The calculated formation energy comes out at 0.63 eV/atom. The value obtained for the density of states at the Fermi level is 2.92 states/eV/f.u. The symmetry is Pm-3m (221).

a = 4.3815 Å, b = 4.3815 Å, c = 4.3815 Å
α = 90.00°, β = 90.00°, γ = 90.00°
Last column: nearest neighbours and their distance in Å.
Atoms (fractional coordinates):
Rb  0.0000  0.0000  0.0000  12 Be 3.10
Be  0.0000  0.5000  0.5000  2 Ni 2.19
Be  0.5000  0.0000  0.5000  2 Ni 2.19
Be  0.5000  0.5000  0.0000  2 Ni 2.19
Ni  0.5000  0.5000  0.5000  6 Be 2.19

No. 10
Entry from the Alexandria database: a relaxed structure of Rb2Be2Ni (PBE).

For the electronic total energy, the calculation gives -2.0725 eV/atom. The calculated formation energy comes out at 0.96 eV/atom. The value obtained for the density of states at the Fermi level is 2.65 states/eV/f.u. The symmetry is I4/mmm (139).

a = 11.5973 Å, b = 11.5973 Å, c = 11.5973 Å
α = 164.29°, β = 164.29°, γ = 22.29°
Last column: nearest neighbours and their distance in Å.
Atoms (fractional coordinates):
Rb  0.1056  0.1056  0.0000  4 Rb 3.17, 4 Ni 3.29
Rb  0.8944  0.8944  0.0000  4 Rb 3.17, 4 Ni 3.29
Be  0.2500  0.7500  0.5000  4 Be 2.24
Be  0.7500  0.2500  0.5000  4 Be 2.24
Ni  0.5000  0.5000  0.0000  4 Ni 3.17, 8 Rb 3.29

No. 11
Entry from the Alexandria database: a relaxed structure of RbBeNi3 (PBE).

For the electronic total energy, the calculation gives -1.9580 eV/atom. The calculated formation energy comes out at 2.45 eV/atom. The value obtained for the density of states at the Fermi level is 5.35 states/eV/f.u. The symmetry is Pm-3m (221).

a = 4.6289 Å, b = 4.6289 Å, c = 4.6289 Å
α = 90.00°, β = 90.00°, γ = 90.00°
Last column: nearest neighbours and their distance in Å.
Atoms (fractional coordinates):
Rb  0.0000  0.0000  0.0000  6 Ni 2.31
Be  0.5000  0.5000  0.5000  12 Ni 3.27
Ni  0.0000  0.0000  0.5000  2 Rb 2.31
Ni  0.0000  0.5000  0.0000  2 Rb 2.31
Ni  0.5000  0.0000  0.0000  2 Rb 2.31

No. 12
Entry from the Alexandria database: a relaxed structure of Rb3BeNi (PBE).

For the electronic total energy, the calculation gives -1.4608 eV/atom. The calculated formation energy comes out at 1.02 eV/atom. The value obtained for the density of states at the Fermi level is 5.66 states/eV/f.u. The symmetry is Pm-3m (221).

a = 6.3481 Å, b = 6.3481 Å, c = 6.3481 Å
α = 90.00°, β = 90.00°, γ = 90.00°
Last column: nearest neighbours and their distance in Å.
Atoms (fractional coordinates):
Rb  0.0000  0.0000  0.5000  2 Ni 3.17
Rb  0.0000  0.5000  0.0000  2 Ni 3.17
Rb  0.5000  0.0000  0.0000  2 Ni 3.17
Be  0.5000  0.5000  0.5000  12 Rb 4.49
Ni  0.0000  0.0000  0.0000  6 Rb 3.17